A geometry-optimized MnW2Br structure, computed with PBE-GGA.

Results
Crystal system = trigonal
E above lowest polymorph = 286 meV/atom
Formation energy without anion corrections = 0.76 eV per atom
Total energy = -8.432 eV per atom

Lattice parameters (Å, degrees): 8.665 8.665 8.665 19.53 19.53 19.53
Sites, in units of the cell vectors:
1 Mn 0.000 0.000 0.000
2 W 0.256 0.256 0.256
3 W 0.744 0.744 0.744
4 Br 0.500 0.500 0.500